Compound: AcSiPd3
Source: OQMD via LeMat-Bulk
Functional: PBE
Structure: optimized geometry

Values from the calculation:
DFT total energy ... -5.8753 eV/atom

Cell and atoms, written as CIF:
```
data_AcSiPd3
_space_group_name_H-M_alt 'C m c m'
_space_group_IT_number 63
_space_group_name_Hall '-C 2c 2'
_cell_length_a 6.1618
_cell_length_b 10.4973
_cell_length_c 6.0997
_cell_angle_alpha 90.00
_cell_angle_beta 90.00
_cell_angle_gamma 90.00
loop_
_atom_site_label
_atom_site_type_symbol
_atom_site_fract_x
_atom_site_fract_y
_atom_site_fract_z
Ac1 Ac 0.0000 0.2454 0.2500
Si1 Si 0.0000 0.0955 0.7500
Pd1 Pd 0.0000 0.3220 0.7500
Pd2 Pd 0.2411 0.5000 0.0000
```